No. 1
Below is a geometry-optimized TaTiReW structure, with properties calculated at the PBE level.

abc: 4.502 4.502 4.502
angles: 60.00 60.00 60.00
Positions (direct):
Ta 0.000 0.000 0.000
Ti 0.500 0.500 0.500
Re 0.750 0.750 0.750
W 0.250 0.250 0.250

Output
Calculated density: 15.41 g/cm³
ΔH_f (0 K): -0.24 eV/atom
Size of the total moment: 0.00 μB/f.u.

No. 2
Below is a geometry-optimized HfPa2 structure, with properties calculated at the PBE level.

abc: 3.077 5.054 9.345
angles: 90.00 99.40 90.00
Positions (direct):
Hf 0.121 0.250 0.243
Hf 0.879 0.750 0.757
Pa 0.297 0.250 0.593
Pa 0.458 0.250 0.916
Pa 0.542 0.750 0.084
Pa 0.703 0.750 0.407

Output
Calculated density: 14.84 g/cm³
ΔH_f (0 K): 0.04 eV/atom
Size of the total moment: 0.00 μB/f.u.

No. 3
Below is a geometry-optimized Zr2MnCo structure, with properties calculated at the PBE level.

abc: 9.612 9.612 9.612
angles: 155.66 155.66 34.70
Positions (direct):
Zr 0.121 0.625 0.996
Zr 0.375 0.371 0.496
Zr 0.629 0.125 0.004
Zr 0.875 0.879 0.504
Mn 0.250 0.750 0.500
Mn 0.500 0.500 0.000
Co 0.000 0.000 0.000
Co 0.750 0.250 0.500

Output
Calculated density: 6.53 g/cm³
ΔH_f (0 K): 0.62 eV/atom
Size of the total moment: 3.99 μB/f.u.

No. 4
Below is a geometry-optimized Mg7Bi2Pb structure, with properties calculated at the PBE level.

abc: 12.797 12.797 12.797
angles: 158.65 158.65 30.38
Positions (direct):
Mg 0.000 0.000 0.000
Mg 0.087 0.587 0.500
Mg 0.250 0.750 0.500
Mg 0.413 0.913 0.500
Mg 0.587 0.087 0.500
Mg 0.750 0.250 0.500
Mg 0.913 0.413 0.500
Bi 0.171 0.171 0.000
Bi 0.829 0.829 0.000
Pb 0.500 0.500 0.000

Output
Calculated density: 4.76 g/cm³
ΔH_f (0 K): -0.05 eV/atom
Size of the total moment: 0.00 μB/f.u.

Across the entries above, DOS at the Fermi energy takes the values 2.790, 11.443, 5.871, 4.342 states/eV per cell, respectively.